No. 1
Density functional theory data (GGA-PBE) for a relaxed structure of SmNiGe2Pd.

* formation energy from the elements: -3.67 eV/f.u.

a b c (Å): 4.222 4.222 5.851
angles (deg): 111.15 111.15 90.00
Sites, in units of the cell vectors:
Pd: 0.250 0.750 0.500
Sm: 0.000 0.000 0.000
Ni: 0.750 0.250 0.500
Ge: 0.625 0.625 0.249
Ge: 0.375 0.375 0.751

=====

No. 2
Density functional theory data (GGA-PBE) for a relaxed structure of TcPF2.

* E above lowest polymorph: 0.654 eV/atom

a b c (Å): 4.168 4.168 4.168
angles (deg): 60.00 60.00 60.00
Sites, in units of the cell vectors:
F: 0.750 0.750 0.750
F: 0.250 0.250 0.250
Tc: 0.500 0.500 0.500
P: 0.000 0.000 0.000

=====

No. 3
Density functional theory data (GGA-PBE) for a relaxed structure of HfAlSe2N.

* E above lowest polymorph: 0.022 eV/atom

a b c (Å): 5.018 5.018 3.518
angles (deg): 90.00 90.00 90.00
Sites, in units of the cell vectors:
Al: 0.000 0.000 0.000
Se: 0.000 0.500 0.000
Se: 0.500 0.000 0.000
N: 0.000 0.000 0.500
Hf: 0.500 0.500 0.500

=====

No. 4
Density functional theory data (GGA-PBE) for a relaxed structure of AcSn2Hg.

* E above lowest polymorph: 0.000 eV/atom
* formation energy from the elements: -1.90 eV/f.u.

a b c (Å): 5.190 7.172 7.172
angles (deg): 119.14 90.00 90.00
Sites, in units of the cell vectors:
Sn: 0.250 0.287 0.135
Sn: 0.750 0.581 0.289
Sn: 0.250 0.289 0.581
Sn: 0.750 0.135 0.287
Ac: 0.750 0.091 0.761
Ac: 0.250 0.761 0.091
Hg: 0.250 0.750 0.590
Hg: 0.750 0.590 0.750

=====

No. 5
Density functional theory data (GGA-PBE) for a relaxed structure of GaSbPb2C.

* E above lowest polymorph: 0.000 eV/atom

a b c (Å): 5.128 4.750 5.128
angles (deg): 90.00 90.00 90.00
Sites, in units of the cell vectors:
Pb: 0.500 0.000 0.000
Pb: 0.000 0.000 0.500
C: 0.000 0.000 0.000
Sb: 0.000 0.500 0.000
Ga: 0.500 0.500 0.500

=====

No. 6
Density functional theory data (GGA-PBE) for a relaxed structure of Fe2AgHg.

* formation energy from the elements: 1.81 eV/f.u.

a b c (Å): 4.878 4.878 2.824
angles (deg): 89.99 89.99 109.44
Sites, in units of the cell vectors:
Hg: 0.500 0.000 0.500
Fe: 0.000 0.000 0.000
Fe: 0.500 0.500 0.000
Ag: 0.000 0.500 0.500

=====

No. 7
Density functional theory data (GGA-PBE) for a relaxed structure of Hf2HI.

* E above lowest polymorph: 0.000 eV/atom

a b c (Å): 5.556 5.556 6.611
angles (deg): 65.15 65.15 90.00
Sites, in units of the cell vectors:
H: 0.250 0.750 0.500
H: 0.500 0.500 0.000
Hf: 0.266 0.625 0.250
Hf: 0.375 0.516 0.750
Hf: 0.484 0.125 0.250
Hf: 0.875 0.734 0.750
I: 0.750 0.250 0.500
I: 0.000 0.000 0.000

=====

No. 8
Density functional theory data (GGA-PBE) for a relaxed structure of Mg5In2Ga2Ag.

* formation energy from the elements: -0.93 eV/f.u.

a b c (Å): 3.126 11.867 11.867
angles (deg): 90.00 90.00 90.00
Sites, in units of the cell vectors:
In: 0.000 0.689 0.189
In: 0.000 0.189 0.311
In: 0.000 0.311 0.811
In: 0.000 0.811 0.689
Mg: 0.500 0.000 0.500
Mg: 0.500 0.975 0.199
Mg: 0.500 0.199 0.025
Mg: 0.500 0.025 0.801
Mg: 0.500 0.801 0.975
Mg: 0.500 0.301 0.525
Mg: 0.500 0.699 0.475
Mg: 0.500 0.525 0.699
Mg: 0.500 0.500 0.000
Mg: 0.500 0.475 0.301
Ag: 0.000 0.000 0.000
Ag: 0.000 0.500 0.500
Ga: 0.000 0.860 0.360
Ga: 0.000 0.140 0.640
Ga: 0.000 0.640 0.860
Ga: 0.000 0.360 0.140

=====

No. 9
Density functional theory data (GGA-PBE) for a relaxed structure of MgBr2Cl.

* E above lowest polymorph: 0.133 eV/atom

a b c (Å): 7.934 7.934 5.357
angles (deg): 62.54 62.54 26.77
Sites, in units of the cell vectors:
Cl: 0.250 0.250 0.250
Br: 0.115 0.115 0.867
Br: 0.385 0.385 0.633
Mg: 0.750 0.750 0.750

=====

No. 10
Density functional theory data (GGA-PBE) for a relaxed structure of Tb4Ce2Ge3O2.

* VASP energy: -6.45 eV per atom

a b c (Å): 4.589 4.589 12.515
angles (deg): 100.56 100.56 90.00
Sites, in units of the cell vectors:
Ce: 0.302 0.302 0.603
Ce: 0.698 0.698 0.397
Tb: 0.080 0.580 0.160
Tb: 0.580 0.080 0.160
Tb: 0.420 0.920 0.840
Tb: 0.920 0.420 0.840
Ge: 0.828 0.828 0.656
Ge: 0.172 0.172 0.344
Ge: 0.000 0.000 0.000
O: 0.596 0.596 0.192
O: 0.404 0.404 0.808

=====

No. 11
Density functional theory data (GGA-PBE) for a relaxed structure of Sm5ErGa6.

* formation energy from the elements: -6.86 eV/f.u.

a b c (Å): 5.131 7.259 8.120
angles (deg): 90.00 71.58 90.00
Sites, in units of the cell vectors:
Ga: 0.164 0.754 0.672
Ga: 0.164 0.246 0.672
Ga: 0.836 0.754 0.328
Ga: 0.500 0.753 0.000
Ga: 0.500 0.247 0.000
Ga: 0.836 0.246 0.328
Sm: 0.334 0.000 0.332
Sm: 0.000 0.500 0.000
Sm: 0.669 0.500 0.662
Sm: 0.666 0.000 0.668
Sm: 0.331 0.500 0.338
Er: 0.000 0.000 0.000

=====

No. 12
Density functional theory data (GGA-PBE) for a relaxed structure of Li2Be2CuAu5.

* formation energy from the elements: -2.92 eV/f.u.

a b c (Å): 3.190 9.828 9.828
angles (deg): 90.00 90.00 90.00
Sites, in units of the cell vectors:
Au: 0.500 0.075 0.797
Au: 0.500 0.575 0.703
Au: 0.500 0.000 0.500
Au: 0.500 0.925 0.203
Au: 0.500 0.297 0.575
Au: 0.500 0.500 0.000
Au: 0.500 0.203 0.075
Au: 0.500 0.703 0.425
Au: 0.500 0.797 0.925
Au: 0.500 0.425 0.297
Be: 0.000 0.373 0.127
Be: 0.000 0.127 0.627
Be: 0.000 0.627 0.873
Be: 0.000 0.873 0.373
Cu: 0.000 0.500 0.500
Cu: 0.000 0.000 0.000
Li: 0.000 0.827 0.673
Li: 0.000 0.173 0.327
Li: 0.000 0.673 0.173
Li: 0.000 0.327 0.827

=====

Number 1: calculated density 8.529 g cm⁻³. Number 2: calculated density 5.416 g cm⁻³. Number 3: calculated density 7.075 g cm⁻³. Number 4: calculated density 9.473 g cm⁻³. Number 5: calculated density 8.213 g cm⁻³. Number 6: calculated density 11.010 g cm⁻³. Number 7: calculated density 9.813 g cm⁻³. Number 8: calculated density 4.515 g cm⁻³. Number 9: calculated density 2.727 g cm⁻³. Number 10: calculated density 7.606 g cm⁻³. Number 11: calculated density 7.740 g cm⁻³. Number 12: calculated density 11.644 g cm⁻³.